Compound: PmPrSiGe
Source: Alexandria
Functional: GGA-PBE
Structure: optimized geometry

**Total moment**: 0.000 μB per formula unit
**E above lowest polymorph**: 0 meV/atom
**Raw total energy**: -5.688 eV/atom

abc: 4.4802 4.0108 5.9546
angles: 90.00 112.10 90.00
With the nearest neighbours (Å) after each atom.
Positions (direct):
Ge1 0.5753 0.5000 0.1506  2 Si 2.62
Si1 0.4223 0.0000 0.8445  2 Ge 2.62
Pm1 0.8619 0.5000 0.7238  4 Si 3.08, 3 Ge 3.16-3.25
Pr1 0.1405 0.0000 0.2810  4 Ge 3.09, 3 Si 3.11-3.29

Compound: TlCuBr2
Source: Alexandria
Functional: GGA-PBE
Structure: optimized geometry

**Total moment**: 0.000 μB per formula unit
**E above lowest polymorph**: 429 meV/atom
**Raw total energy**: -2.565 eV/atom

abc: 5.3285 5.3285 3.7515
angles: 90.00 90.00 90.06
With the nearest neighbours (Å) after each atom.
Positions (direct):
Cu1 0.5000 0.0000 0.5000  8 Br 3.26
Br1 0.0000 0.0000 0.0000  4 Tl 3.26, 4 Cu 3.26
Br2 0.5000 0.5000 0.0000  4 Cu 3.26, 4 Tl 3.26
Tl1 0.0000 0.5000 0.5000  8 Br 3.26

Compound: OsSeCl2
Source: Alexandria
Functional: GGA-PBE
Structure: optimized geometry

**Total moment**: 0.000 μB per formula unit
**E above lowest polymorph**: 417 meV/atom
**Raw total energy**: -4.300 eV/atom

abc: 6.4256 6.4256 6.4256
angles: 152.03 134.84 53.96
With the nearest neighbours (Å) after each atom.
Positions (direct):
Os1 0.4920 0.4920 0.0000  2 Se 2.35, 2 Cl 2.56
Cl1 0.6698 0.1698 0.5000  2 Os 2.56
Cl2 0.0006 0.0006 0.0000  4 Os 2.92, 2 Se 3.09, 4 Cl 3.11-3.14
Se1 0.3376 0.8376 0.5000  2 Os 2.35

Question: E above lowest polymorph of number 3 (OsSeCl2)?
Answer: 417 meV/atom